Entry 1:
The following is a DFT calculation (PBE-GGA) of a relaxed structure of AcPrPtRh.

a = 4.470 Å, b = 4.080 Å, c = 11.256 Å
α = 90.00°, β = 90.00°, γ = 90.00°
Space group Amm2 (No. 38)
Unique sites:
Ac 0.000 0.000 0.000 x2
Pr 0.500 0.000 0.723 x2
Pt 0.500 0.000 0.443 x2
Rh 0.000 0.000 0.267 x2

Results
ΔH_f (0 K)	-348	kJ/mol of formula units
polymorph energy (0 for the lowest one)	0.000	eV/atom



Entry 2:
The following is a DFT calculation (PBE-GGA) of a relaxed structure of La3PmGa4.

a = 3.794 Å, b = 6.968 Å, c = 17.596 Å
α = 90.00°, β = 90.00°, γ = 90.00°
Space group Immm (No. 71)
Unique sites:
La 0.000 0.000 0.000 x2
La 0.000 0.500 0.204 x4
Pm 0.000 0.000 0.500 x2
Ga 0.000 0.309 0.372 x8

Results
ΔH_f (0 K)	-326	kJ/mol of formula units
polymorph energy (0 for the lowest one)	0.149	eV/atom



Entry 3:
The following is a DFT calculation (PBE-GGA) of a relaxed structure of Rb2LaZn2Te4.

a = 16.710 Å, b = 4.874 Å, c = 8.582 Å
α = 90.00°, β = 109.19°, γ = 90.00°
Space group C2/m (No. 12)
Unique sites:
Rb 0.133 0.000 0.067 x4
La 0.000 0.000 0.500 x2
Zn 0.174 0.500 0.504 x4
Te 0.017 0.500 0.259 x4
Te 0.205 0.000 0.665 x4

Results
raw formation energy	-917	meV/atom



Entry 4:
The following is a DFT calculation (PBE-GGA) of a relaxed structure of Th3Ge.

a = 4.750 Å, b = 4.750 Å, c = 9.961 Å
α = 90.00°, β = 90.00°, γ = 90.00°
Space group I4/mmm (No. 139)
Unique sites:
Th 0.000 0.000 0.000 x2
Th 0.000 0.500 0.250 x4
Ge 0.000 0.000 0.500 x2

Results
ΔH_f (0 K)	-64	kJ/mol of formula units
polymorph energy (0 for the lowest one)	0.242	eV/atom



Entry 5:
The following is a DFT calculation (PBE-GGA) of a relaxed structure of Tm6As5Cl.

a = 7.025 Å, b = 12.145 Å, c = 7.003 Å
α = 90.00°, β = 109.43°, γ = 90.00°
Space group C2/m (No. 12)
Unique sites:
Tm 0.237 0.000 0.257 x4
Tm 0.239 0.174 0.741 x8
As 0.000 0.000 0.500 x2
As 0.000 0.168 0.000 x4
As 0.000 0.339 0.500 x4
Cl 0.000 0.500 0.000 x2

Results
raw formation energy	-1516	meV/atom



Entry 6:
The following is a DFT calculation (PBE-GGA) of a relaxed structure of Zn2SnBi.

a = 4.4101 Å, b = 4.4101 Å, c = 17.8666 Å
α = 90.00°, β = 90.00°, γ = 120.00°
Space group R3m (No. 160, hexagonal axes)
Unique sites:
Zn 0.0000 0.0000 0.0000 x3
Zn 0.0000 0.0000 0.1509 x3
Sn 0.0000 0.0000 0.4017 x3
Bi 0.0000 0.0000 0.5755 x3

Results
ΔH_f (0 K)	50	kJ/mol of formula units
polymorph energy (0 for the lowest one)	0.000	eV/atom



Entry 7:
The following is a DFT calculation (PBE-GGA) of a relaxed structure of TaTl2CrI.

a = 6.186 Å, b = 6.186 Å, c = 5.207 Å
α = 90.00°, β = 90.00°, γ = 90.00°
Space group P4/mmm (No. 123)
Unique sites:
Ta 0.000 0.000 0.000 x1
Tl 0.000 0.500 0.500 x2
Cr 0.500 0.500 0.000 x1
I 0.000 0.000 0.500 x1

Results
raw formation energy	1683	meV/atom



Entry 8:
The following is a DFT calculation (PBE-GGA) of a relaxed structure of TlFeTe2.

a = 3.394 Å, b = 3.924 Å, c = 9.170 Å
α = 90.00°, β = 90.00°, γ = 90.00°
Space group Pmm2 (No. 25)
Unique sites:
Tl 0.000 0.000 0.000 x1
Fe 0.500 0.500 0.491 x1
Te 0.000 0.000 0.404 x1
Te 0.500 0.500 0.769 x1

Results
raw formation energy	118	meV/atom



Entry 9:
The following is a DFT calculation (PBE-GGA) of a relaxed structure of Sc2ZnCd.

a = 7.614 Å, b = 7.614 Å, c = 6.264 Å
α = 90.00°, β = 90.00°, γ = 90.00°
Space group I-42d (No. 122)
Unique sites:
Sc 0.227 0.750 0.125 x8
Zn 0.000 0.000 0.000 x4
Cd 0.000 0.000 0.500 x4

Results
ΔH_f (0 K)	37	kJ/mol of formula units



Entry 10:
The following is a DFT calculation (PBE-GGA) of a relaxed structure of FeReRu2.

a = 5.380 Å, b = 7.542 Å, c = 2.707 Å
α = 90.00°, β = 90.00°, γ = 90.00°
Space group Cmmm (No. 65)
Unique sites:
Fe 0.000 0.000 0.000 x2
Re 0.000 0.500 0.000 x2
Ru 0.250 0.250 0.500 x4

Results
ΔH_f (0 K)	41	kJ/mol of formula units



Entry 11:
The following is a DFT calculation (PBE-GGA) of a relaxed structure of VCrFeAs.

a = 5.758 Å, b = 5.758 Å, c = 5.758 Å
α = 90.00°, β = 90.00°, γ = 90.00°
Space group F-43m (No. 216)
Unique sites:
V 0.000 0.000 0.000 x4
Cr 0.250 0.250 0.250 x4
Fe 0.250 0.250 0.750 x4
As 0.000 0.000 0.500 x4

Results
ΔH_f (0 K)	-40	kJ/mol of formula units



Entry 12:
The following is a DFT calculation (PBE-GGA) of a relaxed structure of Ac6CdPd2.

a = 10.300 Å, b = 10.835 Å, c = 11.422 Å
α = 90.00°, β = 90.00°, γ = 90.00°
Space group Immm (No. 71)
Unique sites:
Ac 0.000 0.190 0.237 x8
Ac 0.190 0.500 0.171 x8
Ac 0.210 0.323 0.500 x8
Cd 0.000 0.000 0.000 x2
Cd 0.000 0.000 0.500 x2
Pd 0.000 0.342 0.000 x4
Pd 0.000 0.500 0.372 x4

Results
ΔH_f (0 K)	-361	kJ/mol of formula units



Entry 13:
The following is a DFT calculation (PBE-GGA) of a relaxed structure of Ba3LiSm2Te6.

a = 8.103 Å, b = 14.031 Å, c = 8.225 Å
α = 90.00°, β = 109.16°, γ = 90.00°
Space group C2/m (No. 12)
Unique sites:
Ba 0.000 0.000 0.000 x2
Ba 0.000 0.334 0.000 x4
Li 0.000 0.500 0.500 x2
Sm 0.000 0.167 0.500 x4
Te 0.239 0.000 0.717 x4
Te 0.239 0.333 0.718 x8

Results
raw formation energy	-1523	meV/atom



Entry 14:
The following is a DFT calculation (PBE-GGA) of a relaxed structure of AlSi2W.

a = 3.490 Å, b = 4.463 Å, c = 7.731 Å
α = 90.00°, β = 90.00°, γ = 90.00°
Space group Cmmm (No. 65)
Unique sites:
Al 0.000 0.000 0.000 x2
Si 0.000 0.500 0.257 x4
W 0.000 0.000 0.500 x2

Results
raw formation energy	204	meV/atom



Entry 15:
The following is a DFT calculation (PBE-GGA) of a relaxed structure of InGeSb2.

a = 4.1589 Å, b = 4.1589 Å, c = 21.4665 Å
α = 90.00°, β = 90.00°, γ = 120.00°
Space group R-3m (No. 166, hexagonal axes)
Unique sites:
In 0.0000 0.0000 0.0000 x3
Ge 0.0000 0.0000 0.5000 x3
Sb 0.0000 0.0000 0.2433 x6

Results
raw formation energy	90	meV/atom
polymorph energy (0 for the lowest one)	0.000	eV/atom



Entry 16:
The following is a DFT calculation (PBE-GGA) of a relaxed structure of ZnSiRh2.

a = 3.606 Å, b = 3.606 Å, c = 8.439 Å
α = 90.00°, β = 90.00°, γ = 90.00°
Space group I-4m2 (No. 119)
Unique sites:
Zn 0.000 0.000 0.000 x2
Si 0.000 0.500 0.250 x2
Rh 0.000 0.000 0.500 x2
Rh 0.000 0.500 0.750 x2

Results
raw formation energy	-325	meV/atom
polymorph energy (0 for the lowest one)	0.351	eV/atom



Entry 17:
The following is a DFT calculation (PBE-GGA) of a relaxed structure of SrNiOs.

a = 4.695 Å, b = 4.703 Å, c = 10.859 Å
α = 90.00°, β = 90.00°, γ = 90.00°
Space group Fmm2 (No. 42)
Unique sites:
Sr 0.000 0.000 0.000 x4
Ni 0.000 0.000 0.718 x4
Os 0.000 0.000 0.285 x4

Results
ΔH_f (0 K)	154	kJ/mol of formula units
polymorph energy (0 for the lowest one)	0.122	eV/atom



Entry 18:
The following is a DFT calculation (PBE-GGA) of a relaxed structure of In2SnS.

a = 6.317 Å, b = 6.317 Å, c = 12.884 Å
α = 90.00°, β = 90.00°, γ = 90.00°
Space group I-42d (No. 122)
Unique sites:
In 0.232 0.250 0.125 x8
Sn 0.000 0.000 0.500 x4
S 0.000 0.000 0.000 x4

Results
raw formation energy	-187	meV/atom
polymorph energy (0 for the lowest one)	0.000	eV/atom



Entry 19:
The following is a DFT calculation (PBE-GGA) of a relaxed structure of NbAgSe2.

a = 6.722 Å, b = 6.722 Å, c = 6.722 Å
α = 90.00°, β = 90.00°, γ = 90.00°
Space group Fm-3m (No. 225)
Unique sites:
Nb 0.000 0.000 0.000 x4
Ag 0.000 0.000 0.500 x4
Se 0.250 0.250 0.250 x8

Results
raw formation energy	-68	meV/atom



Entry 20:
The following is a DFT calculation (PBE-GGA) of a relaxed structure of Tl2WBr.

a = 3.268 Å, b = 4.922 Å, c = 5.944 Å
α = 90.00°, β = 105.85°, γ = 90.00°
Space group Pm (No. 6)
Unique sites:
Tl 0.000 0.000 0.000 x1
Tl 0.307 0.500 0.627 x1
W 0.573 0.500 0.144 x1
Br 0.720 0.000 0.446 x1

Results
raw formation energy	764	meV/atom
polymorph energy (0 for the lowest one)	0.279	eV/atom